Record 1
Compound: Zr2NCl
Source: the Alexandria database
Functional: GGA-PBE
Structure: optimized geometry

Calculated values
**Energy relative to the elements, uncorrected**: -0.41 eV per atom

Cell: 6.147 6.147 6.147 Å, 90.00 90.00 90.00°
Space group Fm-3m (No. 225)
Unique sites:
Zr: 0.250 0.250 0.250 (multiplicity 8)
N: 0.000 0.000 0.000 (multiplicity 4)
Cl: 0.000 0.000 0.500 (multiplicity 4)

=====

Record 2
Compound: Li3CeY4Se8
Source: the Alexandria database
Functional: GGA-PBE
Structure: optimized geometry

Calculated values
**Energy relative to the elements, uncorrected**: -1.72 eV per atom

Cell: 8.1442 8.1442 20.0159 Å, 90.00 90.00 120.00°
Space group R-3m (No. 166, hexagonal axes)
Unique sites:
Li: 0.0000 0.5000 0.0000 (multiplicity 9)
Ce: 0.0000 0.0000 0.0000 (multiplicity 3)
Y: 0.0000 0.0000 0.5000 (multiplicity 3)
Y: 0.0000 0.5000 0.5000 (multiplicity 9)
Se: 0.0000 0.0000 0.2506 (multiplicity 6)
Se: 0.0077 0.5038 0.2506 (multiplicity 18)

=====

Record 3
Compound: BaSbPt2F
Source: the Alexandria database
Functional: GGA-PBE
Structure: optimized geometry

Calculated values
**Energy relative to the elements, uncorrected**: -0.50 eV per atom

Cell: 4.888 4.888 7.043 Å, 90.00 90.00 90.00°
Space group P4/mmm (No. 123)
Unique sites:
Ba: 0.000 0.000 0.000 (multiplicity 1)
Sb: 0.000 0.000 0.500 (multiplicity 1)
Pt: 0.000 0.500 0.500 (multiplicity 2)
F: 0.500 0.500 0.000 (multiplicity 1)

=====

Record 4
Compound: Pr5Nd3Sm
Source: the Alexandria database
Functional: GGA-PBE
Structure: optimized geometry

Calculated values
**Formation enthalpy at 0 K**: 0.360 eV/atom

Cell: 17.042 8.621 12.437 Å, 90.00 130.96 90.00°
Space group C2/m (No. 12)
Unique sites:
Pr: 0.000 0.184 0.000 (multiplicity 4)
Pr: 0.058 0.000 0.414 (multiplicity 4)
Pr: 0.156 0.500 0.355 (multiplicity 4)
Pr: 0.212 0.193 0.772 (multiplicity 8)
Nd: 0.000 0.500 0.000 (multiplicity 2)
Nd: 0.000 0.500 0.500 (multiplicity 2)
Nd: 0.140 0.000 0.950 (multiplicity 4)
Nd: 0.207 0.000 0.300 (multiplicity 4)
Sm: 0.112 0.500 0.870 (multiplicity 4)

=====

Record 5
Compound: NdHf2In
Source: the Alexandria database
Functional: GGA-PBE
Structure: optimized geometry

Calculated values
**Formation enthalpy at 0 K**: 0.294 eV/atom

Cell: 3.1829 3.1829 34.3668 Å, 90.00 90.00 120.00°
Space group R-3m (No. 166, hexagonal axes)
Unique sites:
Nd: 0.0000 0.0000 0.0000 (multiplicity 3)
Hf: 0.0000 0.0000 0.0921 (multiplicity 6)
In: 0.0000 0.0000 0.5000 (multiplicity 3)

=====

Record 6
Compound: CaHoRe2O8
Source: the Alexandria database
Functional: GGA-PBE
Structure: optimized geometry

Calculated values
**Energy relative to the elements, uncorrected**: -2.05 eV per atom

Cell: 5.9329 5.9329 6.7329 Å, 90.00 90.00 120.00°
Space group P-3m1 (No. 164)
Unique sites:
Ca: 0.0000 0.0000 0.0000 (multiplicity 1)
Ho: 0.0000 0.0000 0.5000 (multiplicity 1)
Re: 0.3333 0.6667 0.8053 (multiplicity 2)
O: 0.1611 0.3222 0.7250 (multiplicity 6)
O: 0.3333 0.6667 0.0690 (multiplicity 2)

=====

Record 7
Compound: LiAcIn
Source: the Alexandria database
Functional: GGA-PBE
Structure: optimized geometry

Calculated values
**Formation enthalpy at 0 K**: -0.112 eV/atom

Cell: 7.185 7.185 7.185 Å, 90.00 90.00 90.00°
Space group F-43m (No. 216)
Unique sites:
Li: 0.000 0.000 0.000 (multiplicity 4)
Ac: 0.250 0.250 0.750 (multiplicity 4)
In: 0.250 0.250 0.250 (multiplicity 4)

=====

Record 8
Compound: Cu3Au5
Source: the Alexandria database
Functional: GGA-PBE
Structure: optimized geometry

Calculated values
**Formation enthalpy at 0 K**: 0.053 eV/atom

Cell: 7.5580 7.5580 5.2902 Å, 90.00 90.00 120.00°
Space group P6_3/mcm (No. 193)
Unique sites:
Cu: 0.0000 0.4043 0.2500 (multiplicity 6)
Au: 0.0000 0.2314 0.7500 (multiplicity 6)
Au: 0.3333 0.6667 0.0000 (multiplicity 4)

=====

Record 9
Compound: AcEu2Tl
Source: the Alexandria database
Functional: GGA-PBE
Structure: optimized geometry

Calculated values
**Formation enthalpy at 0 K**: -0.183 eV/atom

Cell: 3.965 3.965 9.533 Å, 90.00 90.00 90.00°
Space group P4/mmm (No. 123)
Unique sites:
Ac: 0.000 0.000 0.000 (multiplicity 1)
Eu: 0.500 0.500 0.297 (multiplicity 2)
Tl: 0.000 0.000 0.500 (multiplicity 1)

=====

Record 10
Compound: TaCr4Au
Source: the Alexandria database
Functional: GGA-PBE
Structure: optimized geometry

Calculated values
**Formation enthalpy at 0 K**: 0.110 eV/atom

Cell: 6.894 6.894 6.894 Å, 90.00 90.00 90.00°
Space group F-43m (No. 216)
Unique sites:
Ta: 0.000 0.000 0.000 (multiplicity 4)
Cr: 0.126 0.126 0.626 (multiplicity 16)
Au: 0.250 0.250 0.250 (multiplicity 4)

=====

Record 11
Compound: In4NiRh3
Source: the Alexandria database
Functional: GGA-PBE
Structure: optimized geometry

Calculated values
**Formation enthalpy at 0 K**: -0.318 eV/atom

Cell: 4.633 4.633 12.514 Å, 90.00 90.00 90.00°
Space group I4/mmm (No. 139)
Unique sites:
In: 0.000 0.500 0.123 (multiplicity 8)
Ni: 0.000 0.000 0.000 (multiplicity 2)
Rh: 0.000 0.000 0.249 (multiplicity 4)
Rh: 0.000 0.000 0.500 (multiplicity 2)

=====

Record 12
Compound: LiGeP3
Source: the Alexandria database
Functional: GGA-PBE
Structure: optimized geometry

Calculated values
**Formation enthalpy at 0 K**: 0.738 eV/atom

Cell: 4.771 4.771 4.771 Å, 90.00 90.00 90.00°
Space group Pm-3m (No. 221)
Unique sites:
Li: 0.000 0.000 0.000 (multiplicity 1)
Ge: 0.500 0.500 0.500 (multiplicity 1)
P: 0.000 0.500 0.500 (multiplicity 3)

=====

The calculation returns the following raw total energy values, one per record and in order: -115.71, -278.80, -22.48, -158.74, -78.72, -95.69, -36.39, -56.50, -27.75, -211.85, -82.67, -19.07 eV for the cell shown.